Here is a relaxed structure of Ba2Mg15Hg2 from Alexandria via LeMat-Bulk. Energies are from PBE.

Spin magnetization ... 0.000 μB/f.u.
ΔH_f (0 K) ... -2.1 eV per formula unit

Lattice parameters (Å, degrees): 10.5544 10.5544 15.4872 90.00 90.00 120.00
Space group R-3m (No. 166, hexagonal axes)
Asymmetric unit:
Ba  0.0000  0.0000  0.1640 (multiplicity 6)
Mg  0.0000  0.2910  0.5000 (multiplicity 18)
Mg  0.0000  0.5000  0.0000 (multiplicity 9)
Mg  0.0012  0.5006  0.3462 (multiplicity 18)
Hg  0.0000  0.0000  0.3958 (multiplicity 6)